# 1
DFT (GGA-PBEsol) results for an optimized crystal structure of Tb5Bi3. Values from VASP.

## Properties
energy relative to the lowest polymorph listed for this composition: 0 meV per atom
space group: P6_3/mcm, No. 193
N(E_F): 0.8382 states/eV per atom

Structure (Quantum ESPRESSO input):
```
&SYSTEM
  ibrav = 0, nat = 16, ntyp = 2
/
ATOMIC_SPECIES
Tb 158.93 Tb.upf
Bi 208.98 Bi.upf
ATOMIC_POSITIONS crystal
Tb 0.7500 0.2443 0.2443
Tb 0.2500 0.7557 0.7557
Tb 0.7500 0.0000 0.7557
Tb 0.0000 0.3333 0.6667
Tb 0.5000 0.3333 0.6667
Tb 0.2500 0.0000 0.2443
Tb 0.2500 0.2443 0.0000
Tb 0.0000 0.6667 0.3333
Tb 0.5000 0.6667 0.3333
Tb 0.7500 0.7557 0.0000
Bi 0.2500 0.3894 0.3894
Bi 0.7500 0.0000 0.3894
Bi 0.7500 0.6106 0.6106
Bi 0.7500 0.3894 0.0000
Bi 0.2500 0.6106 0.0000
Bi 0.2500 0.0000 0.6106
CELL_PARAMETERS angstrom
6.2809 0.0000 0.0000
0.0000 9.0799 0.0000
0.0000 -4.5400 7.8634
```



# 2
DFT (GGA-PBEsol) results for an optimized crystal structure of Tb4Bi3. Values from VASP.

## Properties
raw total energy: -5.507 eV/atom
space group: I-43d, No. 220
N(E_F): 1.0583 states/eV per atom

Structure (Quantum ESPRESSO input):
```
&SYSTEM
  ibrav = 0, nat = 14, ntyp = 2
/
ATOMIC_SPECIES
Bi 208.98 Bi.upf
Tb 158.93 Tb.upf
ATOMIC_POSITIONS crystal
Bi 0.3750 0.6250 0.7500
Bi 0.7500 0.1250 0.3750
Bi 0.6250 0.2500 0.8750
Bi 0.2500 0.3750 0.1250
Bi 0.1250 0.8750 0.2500
Bi 0.8750 0.7500 0.6250
Tb 0.3536 0.0000 0.0000
Tb 0.0000 0.5000 0.3536
Tb 0.1464 0.1464 0.6464
Tb 0.5000 0.3536 0.5000
Tb 0.5000 0.8536 0.5000
Tb 0.6464 0.6464 0.1464
Tb 0.0000 0.5000 0.8536
Tb 0.8536 0.0000 0.0000
CELL_PARAMETERS angstrom
-6.2898 -4.4465 2.2648
5.1302 0.7010 6.1361
-2.5344 7.2891 -2.2155
```



# 3
DFT (GGA-PBEsol) results for an optimized crystal structure of Tb5Bi3. Values from VASP.

## Properties
energy relative to the lowest polymorph listed for this composition: 26 meV per atom
space group: Pnma, No. 62
N(E_F): 0.8752 states/eV per atom

Structure (Quantum ESPRESSO input):
```
&SYSTEM
  ibrav = 0, nat = 32, ntyp = 2
/
ATOMIC_SPECIES
Tb 158.93 Tb.upf
Bi 208.98 Bi.upf
ATOMIC_POSITIONS crystal
Tb 0.1603 0.2500 0.7888
Tb 0.1898 0.4396 0.0633
Tb 0.5202 0.2500 0.0039
Tb 0.3397 0.2500 0.2888
Tb 0.6603 0.7500 0.7112
Tb 0.1898 0.0604 0.0633
Tb 0.8102 0.5604 0.9367
Tb 0.0202 0.7500 0.4961
Tb 0.1721 0.7500 0.7726
Tb 0.3279 0.7500 0.2726
Tb 0.8102 0.9396 0.9367
Tb 0.8279 0.2500 0.2274
Tb 0.3102 0.0604 0.5633
Tb 0.3102 0.4396 0.5633
Tb 0.9798 0.2500 0.5039
Tb 0.6898 0.9396 0.4367
Tb 0.6721 0.2500 0.7274
Tb 0.8397 0.7500 0.2112
Tb 0.6898 0.5604 0.4367
Tb 0.4798 0.7500 0.9961
Bi 0.8999 0.2500 0.9713
Bi 0.4366 0.4928 0.8249
Bi 0.3999 0.7500 0.5287
Bi 0.0634 0.0072 0.3249
Bi 0.0634 0.4928 0.3249
Bi 0.6001 0.2500 0.4713
Bi 0.9366 0.9928 0.6751
Bi 0.9366 0.5072 0.6751
Bi 0.5634 0.9928 0.1751
Bi 0.4366 0.0072 0.8249
Bi 0.1001 0.7500 0.0287
Bi 0.5634 0.5072 0.1751
CELL_PARAMETERS angstrom
-6.0758 -3.7703 3.9397
4.7356 -8.1362 -0.4831
5.2360 2.4299 10.4005
```